Entry 1:
# BaPuSn2Br8

Crystalline BaPuSn2Br8 at its relaxed geometry (PBE, Alexandria).

Properties
ΔE_f (raw) = -1.25 eV per atom
crystal system = monoclinic

Lattice parameters (Å, degrees): 7.172 6.963 9.383 90.00 90.00 89.91
Last column: magnetic moment on the atom in μB.
Fractional coordinates of all 12 atoms:
Ba (0.000, 0.000, 0.500)  0.01
Pu (0.000, 0.000, 0.000)  5.60
Sn (0.500, 0.500, 0.755)  0.05
Sn (0.500, 0.500, 0.245)  0.05
Br (0.159, 0.757, 0.231)  -0.01
Br (0.667, 0.739, 0.000)  -0.01
Br (0.841, 0.243, 0.231)  -0.01
Br (0.841, 0.243, 0.769)  -0.01
Br (0.333, 0.261, 0.000)  -0.01
Br (0.159, 0.757, 0.769)  -0.01
Br (0.636, 0.727, 0.500)  0.00
Br (0.364, 0.273, 0.500)  0.00

Entry 2:
# Rb3BaBr

Crystalline Rb3BaBr at its relaxed geometry (PBE, Alexandria).

Properties
ΔE_f (raw) = -0.50 eV per atom
energy above the lowest structure with this stoichiometry = 0.000 eV/atom
crystal system = cubic

Lattice parameters (Å, degrees): 6.958 6.958 6.958 90.00 90.00 90.00
Last column: magnetic moment on the atom in μB.
Fractional coordinates of all 5 atoms:
Br (0.000, 0.000, 0.000)  0.02
Ba (0.500, 0.500, 0.500)  0.15
Rb (0.000, 0.500, 0.000)  0.02
Rb (0.000, 0.000, 0.500)  0.02
Rb (0.500, 0.000, 0.000)  0.02

Entry 3:
# RbBa2Br

Crystalline RbBa2Br at its relaxed geometry (PBE, Alexandria).

Properties
ΔE_f (raw) = -0.26 eV per atom
energy above the lowest structure with this stoichiometry = 0.387 eV/atom
crystal system = cubic

Lattice parameters (Å, degrees): 6.740 6.740 6.740 60.00 60.00 60.00
Last column: magnetic moment on the atom in μB.
Fractional coordinates of all 4 atoms:
Br (0.000, 0.000, 0.000)  0.03
Ba (0.250, 0.250, 0.250)  0.23
Ba (0.750, 0.750, 0.750)  0.23
Rb (0.500, 0.500, 0.500)  0.04

Entry 4:
# RbBaBr2

Crystalline RbBaBr2 at its relaxed geometry (PBE, Alexandria).

Properties
ΔE_f (raw) = -1.59 eV per atom
energy above the lowest structure with this stoichiometry = 0.000 eV/atom
crystal system = trigonal

Lattice parameters (Å, degrees): 10.584 10.584 10.584 27.97 27.97 27.97
Fractional coordinates of all 4 atoms:
Br (0.881, 0.881, 0.881)
Br (0.119, 0.119, 0.119)
Ba (0.500, 0.500, 0.500)
Rb (0.000, 0.000, 0.000)

Entry 5:
# Rb5Ba3Br12

Crystalline Rb5Ba3Br12 at its relaxed geometry (PBE, Alexandria).

Properties
ΔE_f (raw) = -1.72 eV per atom
crystal system = cubic

Lattice parameters (Å, degrees): 16.874 16.874 16.874 109.47 109.47 109.47
Last column: magnetic moment on the atom in μB.
Fractional coordinates of all 80 atoms:
Ba (0.750, 0.375, 0.125)  0.00
Ba (0.875, 0.750, 0.125)  0.00
Ba (0.375, 0.750, 0.625)  0.00
Ba (0.250, 0.125, 0.375)  0.00
Ba (0.875, 0.125, 0.250)  0.00
Ba (0.375, 0.625, 0.250)  0.00
Ba (0.625, 0.375, 0.750)  0.00
Ba (0.125, 0.875, 0.750)  0.00
Ba (0.750, 0.875, 0.625)  0.00
Ba (0.625, 0.250, 0.375)  0.00
Ba (0.125, 0.250, 0.875)  0.00
Ba (0.250, 0.625, 0.875)  0.00
Rb (0.125, 0.375, 0.250)  0.00
Rb (0.000, 0.500, 0.000)  0.00
Rb (0.000, 0.000, 0.000)  0.00
Rb (0.375, 0.250, 0.125)  0.00
Rb (0.500, 0.000, 0.500)  0.00
Rb (0.500, 0.500, 0.000)  0.00
Rb (0.125, 0.750, 0.375)  0.00
Rb (0.750, 0.125, 0.875)  0.00
Rb (0.750, 0.625, 0.375)  0.00
Rb (0.375, 0.125, 0.750)  0.00
Rb (0.625, 0.875, 0.250)  0.00
Rb (0.500, 0.500, 0.500)  0.00
Rb (0.500, 0.000, 0.000)  0.00
Rb (0.000, 0.000, 0.500)  0.00
Rb (0.250, 0.375, 0.625)  0.00
Rb (0.250, 0.875, 0.125)  0.00
Rb (0.000, 0.500, 0.500)  0.00
Rb (0.875, 0.250, 0.625)  0.00
Rb (0.625, 0.750, 0.875)  0.00
Rb (0.875, 0.625, 0.750)  0.00
Br (0.735, 0.139, 0.065)  0.08
Br (0.330, 0.565, 0.426)  0.08
Br (0.935, 0.361, 0.265)  0.08
Br (0.565, 0.235, 0.139)  0.08
Br (0.596, 0.735, 0.670)  0.08
Br (0.935, 0.574, 0.170)  0.08
Br (0.330, 0.765, 0.404)  0.08
Br (0.074, 0.904, 0.139)  0.08
Br (0.574, 0.935, 0.670)  0.08
Br (0.735, 0.596, 0.170)  0.08
Br (0.765, 0.435, 0.361)  0.08
Br (0.830, 0.926, 0.065)  0.08
Br (0.139, 0.735, 0.565)  0.08
Br (0.361, 0.426, 0.096)  0.08
Br (0.096, 0.926, 0.361)  0.08
Br (0.404, 0.139, 0.574)  0.08
Br (0.096, 0.170, 0.235)  0.08
Br (0.435, 0.670, 0.074)  0.08
Br (0.830, 0.904, 0.265)  0.08
Br (0.139, 0.404, 0.074)  0.08
Br (0.361, 0.935, 0.765)  0.08
Br (0.574, 0.639, 0.404)  0.08
Br (0.926, 0.830, 0.565)  0.08
Br (0.765, 0.330, 0.904)  0.08
Br (0.426, 0.361, 0.596)  0.08
Br (0.074, 0.170, 0.435)  0.08
Br (0.235, 0.670, 0.096)  0.08
Br (0.170, 0.096, 0.735)  0.08
Br (0.639, 0.065, 0.235)  0.08
Br (0.861, 0.596, 0.926)  0.08
Br (0.565, 0.330, 0.926)  0.08
Br (0.596, 0.861, 0.426)  0.08
Br (0.904, 0.830, 0.765)  0.08
Br (0.904, 0.074, 0.639)  0.08
Br (0.861, 0.265, 0.435)  0.08
Br (0.170, 0.074, 0.935)  0.08
Br (0.639, 0.574, 0.904)  0.08
Br (0.426, 0.065, 0.330)  0.08
Br (0.265, 0.404, 0.830)  0.08
Br (0.235, 0.565, 0.639)  0.08
Br (0.926, 0.096, 0.861)  0.08
Br (0.670, 0.235, 0.596)  0.08
Br (0.435, 0.765, 0.861)  0.08
Br (0.065, 0.426, 0.830)  0.08
Br (0.404, 0.265, 0.330)  0.08
Br (0.065, 0.639, 0.735)  0.08
Br (0.670, 0.435, 0.574)  0.08
Br (0.265, 0.861, 0.935)  0.08

Entry 6:
# RbBaBr2

Crystalline RbBaBr2 at its relaxed geometry (PBE, Alexandria).

Properties
ΔE_f (raw) = -1.59 eV per atom
energy above the lowest structure with this stoichiometry = 0.006 eV/atom
crystal system = trigonal

Lattice parameters (Å, degrees): 4.476 4.476 9.611 76.53 76.53 60.00
Last column: magnetic moment on the atom in μB.
Fractional coordinates of all 4 atoms:
Rb (0.499, 0.499, 0.503)  0.00
Ba (0.667, 0.667, 0.998)  0.18
Br (0.084, 0.084, 0.748)  0.01
Br (0.250, 0.250, 0.251)  0.01

Entry 7:
# Rb2Ba3Br8

Crystalline Rb2Ba3Br8 at its relaxed geometry (PBE, Alexandria).

Properties
ΔE_f (raw) = -2.03 eV per atom
crystal system = monoclinic

Lattice parameters (Å, degrees): 8.305 9.750 9.750 60.60 72.42 72.42
Fractional coordinates of all 13 atoms:
Rb (0.354, 0.724, 0.724)
Rb (0.646, 0.276, 0.276)
Ba (0.500, 0.000, 0.000)
Ba (0.000, 0.742, 0.258)
Ba (0.000, 0.258, 0.742)
Br (0.924, 0.390, 0.390)
Br (0.076, 0.610, 0.610)
Br (0.916, 0.894, 0.894)
Br (0.084, 0.106, 0.106)
Br (0.601, 0.339, 0.895)
Br (0.601, 0.895, 0.339)
Br (0.399, 0.105, 0.661)
Br (0.399, 0.661, 0.105)

Entry 8:
# Rb2BaBr2

Crystalline Rb2BaBr2 at its relaxed geometry (PBE, Alexandria).

Properties
ΔE_f (raw) = -1.20 eV per atom
energy above the lowest structure with this stoichiometry = 0.000 eV/atom
crystal system = tetragonal

Lattice parameters (Å, degrees): 9.192 9.192 6.603 90.00 90.00 90.00
Fractional coordinates of all 10 atoms:
Br (0.286, 0.786, 0.000)
Br (0.786, 0.714, 0.000)
Br (0.714, 0.214, 0.000)
Br (0.214, 0.286, 0.000)
Ba (0.000, 0.000, 0.000)
Ba (0.500, 0.500, 0.000)
Rb (0.180, 0.680, 0.500)
Rb (0.680, 0.820, 0.500)
Rb (0.820, 0.320, 0.500)
Rb (0.320, 0.180, 0.500)

Entry 9:
# RbBa3Br

Crystalline RbBa3Br at its relaxed geometry (PBE, Alexandria).

Properties
ΔE_f (raw) = 0.37 eV per atom
energy above the lowest structure with this stoichiometry = 0.821 eV/atom
crystal system = cubic

Lattice parameters (Å, degrees): 7.208 7.208 7.208 90.00 90.00 90.00
Last column: magnetic moment on the atom in μB.
Fractional coordinates of all 5 atoms:
Br (0.500, 0.500, 0.500)  0.04
Ba (0.000, 0.500, 0.000)  0.29
Ba (0.000, 0.000, 0.500)  0.33
Ba (0.500, 0.000, 0.000)  0.24
Rb (0.000, 0.000, 0.000)  0.12

Entry 10:
# RbBa2Br

Crystalline RbBa2Br at its relaxed geometry (PBE, Alexandria).

Properties
ΔE_f (raw) = -0.65 eV per atom
energy above the lowest structure with this stoichiometry = 0.000 eV/atom
crystal system = trigonal

Lattice parameters (Å, degrees): 4.456 4.456 13.769 80.69 80.69 60.00
Fractional coordinates of all 4 atoms:
Br (0.500, 0.500, 0.500)
Ba (0.109, 0.109, 0.673)
Ba (0.891, 0.891, 0.327)
Rb (0.000, 0.000, 0.000)

Entry 11:
# Rb6BaBr8

Crystalline Rb6BaBr8 at its relaxed geometry (PBE, Alexandria).

Properties
ΔE_f (raw) = -1.83 eV per atom
crystal system = cubic

Lattice parameters (Å, degrees): 9.921 9.921 9.921 60.00 60.00 60.00
Fractional coordinates of all 15 atoms:
Rb (0.000, 0.500, 0.500)
Rb (0.500, 0.000, 0.000)
Rb (0.500, 0.500, 0.000)
Rb (0.000, 0.000, 0.500)
Rb (0.000, 0.500, 0.000)
Rb (0.500, 0.000, 0.500)
Ba (0.000, 0.000, 0.000)
Br (0.750, 0.750, 0.750)
Br (0.250, 0.250, 0.250)
Br (0.770, 0.230, 0.230)
Br (0.230, 0.770, 0.770)
Br (0.230, 0.230, 0.770)
Br (0.770, 0.770, 0.230)
Br (0.770, 0.230, 0.770)
Br (0.230, 0.770, 0.230)

Entry 12:
# RbBaBr2

Crystalline RbBaBr2 at its relaxed geometry (PBE, Alexandria).

Properties
ΔE_f (raw) = -1.52 eV per atom
energy above the lowest structure with this stoichiometry = 0.073 eV/atom
crystal system = tetragonal

Lattice parameters (Å, degrees): 4.112 4.112 8.597 90.00 90.00 90.00
Last column: magnetic moment on the atom in μB.
Fractional coordinates of all 4 atoms:
Br (0.000, 0.000, 0.765)  0.00
Br (0.000, 0.000, 0.235)  0.00
Ba (0.500, 0.500, 0.000)  0.22
Rb (0.500, 0.500, 0.500)  0.01

no.,raw total energy (eV/f.u.),D(E_F) (states/eV per cell)
1,-52.69,19.3
2,-8.97,6.6
3,-7.53,2.6
4,-12.60,1.6
5,-65.16,98.6
6,-12.58,0.9
7,-47.54,0.0
8,-13.22,2.6
9,-6.57,7.2
10,-9.07,4.5
11,-48.62,0.0
12,-12.31,1.4